[1]
# Ca2ScRe

Ca2ScRe after structural relaxation (PBE, Alexandria).

Computed properties:
ΔE to the lowest computed polymorph (meV per atom): 503
Calculated formation energy (eV per atom): 0.774

Cell: 5.130 5.130 5.130 Å, 60.00 60.00 60.00°
Sites, in units of the cell vectors:
Re 0.500 0.500 0.500
Ca 0.750 0.750 0.750
Ca 0.250 0.250 0.250
Sc 0.000 0.000 0.000

---

[2]
# Co2RhW

Co2RhW after structural relaxation (PBE, Alexandria).

Computed properties:
ΔE to the lowest computed polymorph (meV per atom): 0
Calculated formation energy (eV per atom): -0.076

Cell: 3.733 3.733 3.634 Å, 90.00 90.00 90.00°
Last column: magnetic moment on the atom in μB.
Sites, in units of the cell vectors:
Rh 0.500 0.000 0.500  0.06
W 0.000 0.500 0.500  -0.15
Co 0.500 0.500 0.000  0.43
Co 0.000 0.000 0.000  0.43

---

[3]
# Zr4SbAu

Zr4SbAu after structural relaxation (PBE, Alexandria).

Computed properties:
ΔE to the lowest computed polymorph (meV per atom): 244
Formation energy without anion corrections (eV/atom): 0.1027

Cell: 5.738 5.738 5.738 Å, 60.00 60.00 60.00°
Sites, in units of the cell vectors:
Sb 0.000 0.000 0.000
Zr 0.375 0.375 0.375
Zr 0.876 0.375 0.375
Zr 0.375 0.876 0.375
Zr 0.375 0.375 0.876
Au 0.750 0.750 0.750

---

[4]
# RbPaNiTe3

RbPaNiTe3 after structural relaxation (PBE, Alexandria).

Computed properties:
Formation energy without anion corrections (eV/atom): -0.7859

Cell: 4.198 10.045 10.642 Å, 113.68 90.00 90.00°
Last column: magnetic moment on the atom in μB.
Sites, in units of the cell vectors:
Te 0.250 0.104 0.878  0.01
Te 0.250 0.827 0.471  0.01
Rb 0.250 0.226 0.266  0.00
Te 0.750 0.465 0.154  0.01
Te 0.750 0.173 0.529  0.01
Te 0.750 0.896 0.122  0.01
Ni 0.250 0.115 0.644  0.07
Pa 0.250 0.700 0.168  -0.26
Rb 0.750 0.774 0.734  0.00
Pa 0.750 0.300 0.832  -0.26
Te 0.250 0.535 0.846  0.01
Ni 0.750 0.885 0.356  0.07

---

[5]
# LiP2Ir3

LiP2Ir3 after structural relaxation (PBE, Alexandria).

Computed properties:
Calculated formation energy (eV per atom): -0.458

Cell: 3.892 7.901 9.533 Å, 105.33 90.00 104.26°
Sites, in units of the cell vectors:
Ir 0.020 0.041 0.301
Ir 0.500 0.000 0.500
Ir 0.682 0.365 0.954
Li 0.000 0.000 0.000
P 0.189 0.378 0.131
P 0.811 0.622 0.869
Li 0.168 0.337 0.717
Ir 0.787 0.574 0.602
Li 0.832 0.663 0.283
P 0.450 0.900 0.219
Ir 0.624 0.247 0.205
Ir 0.318 0.635 0.046
P 0.550 0.100 0.781
Ir 0.213 0.426 0.398
P 0.360 0.720 0.542
Ir 0.980 0.959 0.699
Ir 0.376 0.753 0.795
P 0.640 0.280 0.458

---

[6]
# CaMoPd

CaMoPd after structural relaxation (PBE, Alexandria).

Computed properties:
ΔE to the lowest computed polymorph (meV per atom): 77
Calculated formation energy (eV per atom): -0.023

Cell: 5.067 5.829 5.617 Å, 121.29 116.79 90.02°
Sites, in units of the cell vectors:
Ca 0.960 0.743 0.466
Mo 0.359 0.371 0.723
Ca 0.719 0.000 0.983
Pd 0.333 0.367 0.211
Mo 0.819 0.371 0.724
Pd 0.333 0.862 0.211

---

[7]
# CrMoI3

CrMoI3 after structural relaxation (PBE, Alexandria).

Computed properties:
ΔE to the lowest computed polymorph (meV per atom): 64
Formation energy without anion corrections (eV/atom): 0.8154

Cell: 5.510 5.510 5.510 Å, 90.00 90.00 90.00°
Last column: magnetic moment on the atom in μB.
Sites, in units of the cell vectors:
Cr 0.500 0.500 0.500  4.41
I 0.000 0.000 0.500  -0.01
Mo 0.000 0.000 0.000  -0.03
I 0.500 0.000 0.000  -0.02
I 0.000 0.500 0.000  -0.03

---

[8]
# ScMoRh2

ScMoRh2 after structural relaxation (PBE, Alexandria).

Computed properties:
Calculated formation energy (eV per atom): -0.351

Cell: 4.730 4.730 4.730 Å, 128.36 128.35 76.05°
Sites, in units of the cell vectors:
Mo 0.750 0.250 0.500
Rh 0.000 0.000 0.000
Sc 0.250 0.750 0.500
Rh 0.500 0.500 0.000

---

[9]
# RbScB2

RbScB2 after structural relaxation (PBE, Alexandria).

Computed properties:
ΔE to the lowest computed polymorph (meV per atom): 0
Calculated formation energy (eV per atom): 1.262

Cell: 4.607 4.607 8.965 Å, 75.11 75.11 90.00°
Sites, in units of the cell vectors:
B 0.375 0.625 0.750
Sc 0.500 0.500 0.000
Sc 0.250 0.750 0.500
B 0.875 0.625 0.750
B 0.375 0.625 0.250
B 0.375 0.125 0.250
Rb 0.750 0.250 0.500
Rb 0.000 0.000 0.000

---

[10]
# PmPtRhPb

PmPtRhPb after structural relaxation (PBE, Alexandria).

Computed properties:
Calculated formation energy (eV per atom): -0.535

Cell: 4.903 4.903 4.903 Å, 60.00 60.00 60.00°
Sites, in units of the cell vectors:
Pb 0.500 0.500 0.500
Pm 0.000 0.000 0.000
Rh 0.750 0.750 0.750
Pt 0.250 0.250 0.250

---

[11]
# HfAl3Ni4

HfAl3Ni4 after structural relaxation (PBE, Alexandria).

Computed properties:
Calculated formation energy (eV per atom): -0.604

Cell: 4.166 6.084 8.331 Å, 90.00 90.00 90.00°
Sites, in units of the cell vectors:
Hf 0.000 0.500 0.500
Ni 0.999 0.235 0.250
Ni 0.500 0.765 0.500
Ni 0.999 0.765 0.250
Hf 0.000 0.500 0.000
Ni 0.001 0.765 0.750
Al 0.000 0.000 0.500
Al 0.000 0.000 0.000
Ni 0.500 0.235 0.000
Al 0.500 0.000 0.750
Al 0.500 0.500 0.750
Al 0.500 0.500 0.250
Al 0.500 0.000 0.250
Ni 0.001 0.235 0.750
Ni 0.500 0.235 0.500
Ni 0.500 0.765 0.000

---

[12]
# ZnPtBr4

ZnPtBr4 after structural relaxation (PBE, Alexandria).

Computed properties:
Formation energy without anion corrections (eV/atom): 1.0899

Cell: 6.094 6.094 6.094 Å, 60.00 60.00 60.00°
Sites, in units of the cell vectors:
Br 0.375 0.375 0.375
Br 0.375 0.875 0.375
Zn 0.000 0.000 0.000
Pt 0.750 0.750 0.750
Br 0.875 0.375 0.375
Br 0.375 0.375 0.875

---

| no. | E (eV/atom) |
| --- | --- |
| 1 | -4.921 |
| 2 | -8.705 |
| 3 | -6.829 |
| 4 | -5.064 |
| 5 | -7.011 |
| 6 | -6.032 |
| 7 | -4.206 |
| 8 | -8.317 |
| 9 | -3.901 |
| 10 | -5.998 |
| 11 | -6.142 |
| 12 | -1.244 |